(1)
TaNi4Ir2: relaxed, PBE-GGA. Values from VASP.

The structure in Quantum ESPRESSO input format:
```
&SYSTEM
  ibrav = 0, nat = 14, ntyp = 3
/
ATOMIC_SPECIES
Ta 180.95 Ta.upf
Ni 58.69 Ni.upf
Ir 192.22 Ir.upf
ATOMIC_POSITIONS crystal
Ta 0.000 0.000 0.000
Ta 0.500 0.500 0.500
Ni 0.001 0.499 0.750
Ni 0.002 0.998 0.713
Ni 0.498 0.502 0.213
Ni 0.499 0.001 0.250
Ni 0.501 0.999 0.750
Ni 0.502 0.498 0.787
Ni 0.998 0.002 0.287
Ni 0.999 0.501 0.250
Ir 0.185 0.185 0.500
Ir 0.315 0.315 0.000
Ir 0.685 0.685 0.000
Ir 0.815 0.815 0.500
CELL_PARAMETERS angstrom
4.314 -2.409 0.000
4.314 2.409 0.000
0.000 0.000 8.884
```

energy of formation = -63 meV/atom

=====

(2)
CaNO: relaxed, PBE-GGA. Values from VASP.

The structure in Quantum ESPRESSO input format:
```
&SYSTEM
  ibrav = 0, nat = 12, ntyp = 3
/
ATOMIC_SPECIES
Ca 40.08 Ca.upf
N 14.01 N.upf
O 16.00 O.upf
ATOMIC_POSITIONS crystal
Ca 0.210 0.000 0.244
Ca 0.290 0.500 0.756
Ca 0.710 0.500 0.244
Ca 0.790 0.000 0.756
N 0.030 0.500 0.426
N 0.470 0.000 0.574
N 0.530 0.000 0.426
N 0.970 0.500 0.574
O 0.216 0.000 0.745
O 0.284 0.500 0.255
O 0.716 0.500 0.745
O 0.784 0.000 0.255
CELL_PARAMETERS angstrom
14.067 0.000 0.000
0.000 4.026 0.000
-0.219 0.000 4.586
```

offset from the most stable computed form = 0.452 eV/f.u.
formation energy without anion corrections = -1696 meV per atom

=====

(3)
CuSiCl2: relaxed, PBE-GGA. Values from VASP.

The structure in Quantum ESPRESSO input format:
```
&SYSTEM
  ibrav = 0, nat = 4, ntyp = 3
/
ATOMIC_SPECIES
Cu 63.55 Cu.upf
Si 28.09 Si.upf
Cl 35.45 Cl.upf
ATOMIC_POSITIONS crystal
Cu 0.000 0.000 0.000
Si 0.000 0.000 0.500
Cl 0.500 0.500 0.209
Cl 0.500 0.500 0.791
CELL_PARAMETERS angstrom
3.104 0.000 0.000
0.000 3.104 0.000
0.000 0.000 7.581
```

offset from the most stable computed form = 2.487 eV/f.u.
formation energy without anion corrections = 304 meV per atom

=====

(4)
CaMgIn2H: relaxed, PBE-GGA. Values from VASP.

The structure in Quantum ESPRESSO input format:
```
&SYSTEM
  ibrav = 0, nat = 5, ntyp = 4
/
ATOMIC_SPECIES
Ca 40.08 Ca.upf
Mg 24.30 Mg.upf
In 114.82 In.upf
H 1.01 H.upf
ATOMIC_POSITIONS crystal
Ca 0.000 0.000 0.000
Mg 0.500 0.500 0.000
In 0.000 0.500 0.500
In 0.500 0.000 0.500
H 0.000 0.000 0.500
CELL_PARAMETERS angstrom
4.877 0.000 0.000
0.000 4.877 0.000
0.000 0.000 4.465
```

energy = -2.627 eV/atom

=====

(5)
CaIn2S4: relaxed, PBE-GGA. Values from VASP.

The structure in Quantum ESPRESSO input format:
```
&SYSTEM
  ibrav = 0, nat = 14, ntyp = 3
/
ATOMIC_SPECIES
Ca 40.08 Ca.upf
In 114.82 In.upf
S 32.06 S.upf
ATOMIC_POSITIONS crystal
Ca 0.000 0.000 0.000
Ca 0.500 0.500 0.500
In 0.000 0.000 0.391
In 0.000 0.000 0.609
In 0.500 0.500 0.109
In 0.500 0.500 0.891
S 0.000 0.000 0.215
S 0.000 0.000 0.785
S 0.000 0.500 0.000
S 0.000 0.500 0.500
S 0.500 0.000 0.000
S 0.500 0.000 0.500
S 0.500 0.500 0.285
S 0.500 0.500 0.715
CELL_PARAMETERS angstrom
5.318 0.000 0.000
0.000 5.318 0.000
0.000 0.000 13.183
```

formation energy without anion corrections = -415 meV per atom

=====

(6)
Sr2AcSm: relaxed, PBE-GGA. Values from VASP.

The structure in Quantum ESPRESSO input format:
```
&SYSTEM
  ibrav = 0, nat = 4, ntyp = 3
/
ATOMIC_SPECIES
Sr 87.62 Sr.upf
Ac 227.00 Ac.upf
Sm 150.36 Sm.upf
ATOMIC_POSITIONS crystal
Sr 0.000 0.500 0.000
Sr 0.500 0.000 0.000
Ac 0.000 0.000 0.500
Sm 0.500 0.500 0.500
CELL_PARAMETERS angstrom
5.448 0.000 0.000
0.000 5.448 0.000
0.000 0.000 6.005
```

energy of formation = 175 meV/atom
offset from the most stable computed form = 0.000 eV/f.u.

=====

(7)
Tc2RuBr: relaxed, PBE-GGA. Values from VASP.

The structure in Quantum ESPRESSO input format:
```
&SYSTEM
  ibrav = 0, nat = 8, ntyp = 3
/
ATOMIC_SPECIES
Tc 98.00 Tc.upf
Ru 101.07 Ru.upf
Br 79.90 Br.upf
ATOMIC_POSITIONS crystal
Tc 0.250 0.250 0.000
Tc 0.250 0.750 0.000
Tc 0.750 0.250 0.000
Tc 0.750 0.750 0.000
Ru 0.000 0.000 0.500
Ru 0.500 0.500 0.500
Br 0.000 0.500 0.500
Br 0.500 0.000 0.500
CELL_PARAMETERS angstrom
5.160 0.000 0.000
0.000 8.267 0.000
-0.324 0.000 2.911
```

offset from the most stable computed form = 1.781 eV/f.u.
formation energy without anion corrections = 962 meV per atom

=====

(8)
Ga12Hg5Au3: relaxed, PBE-GGA. Values from VASP.

The structure in Quantum ESPRESSO input format:
```
&SYSTEM
  ibrav = 0, nat = 80, ntyp = 3
/
ATOMIC_SPECIES
Ga 69.72 Ga.upf
Hg 200.59 Hg.upf
Au 196.97 Au.upf
ATOMIC_POSITIONS crystal
Ga 0.073 0.236 0.147
Ga 0.073 0.337 0.926
Ga 0.074 0.647 0.411
Ga 0.074 0.927 0.663
Ga 0.089 0.736 0.663
Ga 0.089 0.853 0.426
Ga 0.147 0.073 0.236
Ga 0.147 0.574 0.911
Ga 0.163 0.236 0.589
Ga 0.163 0.427 0.574
Ga 0.236 0.147 0.073
Ga 0.236 0.589 0.163
Ga 0.264 0.337 0.911
Ga 0.264 0.427 0.353
Ga 0.337 0.911 0.264
Ga 0.337 0.926 0.073
Ga 0.353 0.264 0.427
Ga 0.353 0.589 0.926
Ga 0.411 0.074 0.647
Ga 0.411 0.837 0.764
Ga 0.426 0.089 0.853
Ga 0.426 0.837 0.573
Ga 0.427 0.353 0.264
Ga 0.427 0.574 0.163
Ga 0.573 0.426 0.837
Ga 0.573 0.647 0.736
Ga 0.574 0.163 0.427
Ga 0.574 0.911 0.147
Ga 0.589 0.163 0.236
Ga 0.589 0.926 0.353
Ga 0.647 0.411 0.074
Ga 0.647 0.736 0.573
Ga 0.663 0.074 0.927
Ga 0.663 0.089 0.736
Ga 0.736 0.573 0.647
Ga 0.736 0.663 0.089
Ga 0.764 0.411 0.837
Ga 0.764 0.853 0.927
Ga 0.837 0.573 0.426
Ga 0.837 0.764 0.411
Ga 0.853 0.426 0.089
Ga 0.853 0.927 0.764
Ga 0.911 0.147 0.574
Ga 0.911 0.264 0.337
Ga 0.926 0.073 0.337
Ga 0.926 0.353 0.589
Ga 0.927 0.663 0.074
Ga 0.927 0.764 0.853
Hg 0.000 0.000 0.000
Hg 0.000 0.000 0.500
Hg 0.000 0.500 0.000
Hg 0.000 0.500 0.500
Hg 0.125 0.750 0.875
Hg 0.125 0.875 0.250
Hg 0.250 0.125 0.875
Hg 0.250 0.625 0.375
Hg 0.375 0.250 0.625
Hg 0.375 0.625 0.750
Hg 0.500 0.000 0.000
Hg 0.500 0.000 0.500
Hg 0.500 0.500 0.000
Hg 0.500 0.500 0.500
Hg 0.625 0.375 0.250
Hg 0.625 0.750 0.375
Hg 0.750 0.375 0.625
Hg 0.750 0.875 0.125
Hg 0.875 0.125 0.750
Hg 0.875 0.250 0.125
Au 0.125 0.250 0.375
Au 0.125 0.375 0.750
Au 0.250 0.375 0.125
Au 0.250 0.875 0.625
Au 0.375 0.125 0.250
Au 0.375 0.750 0.125
Au 0.625 0.250 0.875
Au 0.625 0.875 0.750
Au 0.750 0.125 0.375
Au 0.750 0.625 0.875
Au 0.875 0.625 0.250
Au 0.875 0.750 0.625
CELL_PARAMETERS angstrom
-7.835 7.835 7.835
7.835 -7.835 7.835
7.835 7.835 -7.835
```

energy of formation = 52 meV/atom

=====

(9)
Tb2Pr8Nd3: relaxed, PBE-GGA. Values from VASP.

The structure in Quantum ESPRESSO input format:
```
&SYSTEM
  ibrav = 0, nat = 13, ntyp = 3
/
ATOMIC_SPECIES
Tb 158.93 Tb.upf
Pr 140.91 Pr.upf
Nd 144.24 Nd.upf
ATOMIC_POSITIONS crystal
Tb 0.241 0.241 0.498
Tb 0.759 0.759 0.502
Pr 0.135 0.135 0.999
Pr 0.185 0.600 0.500
Pr 0.325 0.325 0.998
Pr 0.400 0.815 0.500
Pr 0.600 0.185 0.500
Pr 0.675 0.675 0.002
Pr 0.815 0.400 0.500
Pr 0.865 0.865 0.001
Nd 0.000 0.000 0.500
Nd 0.287 0.713 0.000
Nd 0.713 0.287 0.000
CELL_PARAMETERS angstrom
10.373 -3.894 0.000
10.373 3.894 0.000
-0.005 0.000 5.871
```

energy of formation = 204 meV/atom
offset from the most stable computed form = 0.726 eV/f.u.

=====

(10)
ZnAg2Au: relaxed, PBE-GGA. Values from VASP.

The structure in Quantum ESPRESSO input format:
```
&SYSTEM
  ibrav = 0, nat = 12, ntyp = 3
/
ATOMIC_SPECIES
Zn 65.41 Zn.upf
Ag 107.87 Ag.upf
Au 196.97 Au.upf
ATOMIC_POSITIONS crystal
Zn 0.000 0.000 0.000
Zn 0.333 0.667 0.667
Zn 0.667 0.333 0.333
Ag 0.000 0.000 0.254
Ag 0.000 0.000 0.746
Ag 0.333 0.667 0.413
Ag 0.333 0.667 0.921
Ag 0.667 0.333 0.079
Ag 0.667 0.333 0.587
Au 0.000 0.000 0.500
Au 0.333 0.667 0.167
Au 0.667 0.333 0.833
CELL_PARAMETERS angstrom
2.936 0.000 0.000
-1.468 2.542 0.000
0.000 0.000 27.744
```

energy of formation = -24 meV/atom

=====

(11)
Sm2Ho6Tm3Sc: relaxed, PBE-GGA. Values from VASP.

The structure in Quantum ESPRESSO input format:
```
&SYSTEM
  ibrav = 0, nat = 12, ntyp = 4
/
ATOMIC_SPECIES
Sm 150.36 Sm.upf
Ho 164.93 Ho.upf
Tm 168.93 Tm.upf
Sc 44.96 Sc.upf
ATOMIC_POSITIONS crystal
Sm 0.167 0.833 0.000
Sm 0.833 0.167 0.000
Ho 0.086 0.416 0.749
Ho 0.253 0.253 0.251
Ho 0.416 0.086 0.749
Ho 0.584 0.914 0.251
Ho 0.747 0.747 0.749
Ho 0.914 0.584 0.251
Tm 0.000 0.000 0.500
Tm 0.334 0.666 0.500
Tm 0.666 0.334 0.500
Sc 0.500 0.500 0.000
CELL_PARAMETERS angstrom
3.039 -5.259 0.000
3.039 5.259 0.000
-2.019 0.000 11.468
```

energy of formation = 28 meV/atom

=====

(12)
TlAsPb2: relaxed, PBE-GGA. Values from VASP.

The structure in Quantum ESPRESSO input format:
```
&SYSTEM
  ibrav = 0, nat = 12, ntyp = 3
/
ATOMIC_SPECIES
Tl 204.38 Tl.upf
As 74.92 As.upf
Pb 207.20 Pb.upf
ATOMIC_POSITIONS crystal
Tl 0.000 0.000 0.000
Tl 0.333 0.667 0.667
Tl 0.667 0.333 0.333
As 0.000 0.000 0.500
As 0.333 0.667 0.167
As 0.667 0.333 0.833
Pb 0.000 0.000 0.235
Pb 0.000 0.000 0.765
Pb 0.333 0.667 0.432
Pb 0.333 0.667 0.902
Pb 0.667 0.333 0.098
Pb 0.667 0.333 0.568
CELL_PARAMETERS angstrom
4.144 0.000 0.000
-2.072 3.589 0.000
0.000 0.000 25.114
```

energy of formation = 35 meV/atom
offset from the most stable computed form = 0.046 eV/f.u.

=====

(13)
ScMnCoGe2: relaxed, PBE-GGA. Values from VASP.

The structure in Quantum ESPRESSO input format:
```
&SYSTEM
  ibrav = 0, nat = 10, ntyp = 4
/
ATOMIC_SPECIES
Sc 44.96 Sc.upf
Mn 54.94 Mn.upf
Co 58.93 Co.upf
Ge 72.64 Ge.upf
ATOMIC_POSITIONS crystal
Sc 0.000 0.000 0.000
Sc 0.500 0.500 0.500
Mn 0.000 0.500 0.750
Mn 0.500 0.000 0.250
Co 0.000 0.500 0.250
Co 0.500 0.000 0.750
Ge 0.000 0.000 0.385
Ge 0.000 0.000 0.615
Ge 0.500 0.500 0.115
Ge 0.500 0.500 0.885
CELL_PARAMETERS angstrom
3.829 0.000 0.000
0.000 3.829 0.000
0.000 0.000 10.566
```

energy of formation = -437 meV/atom

=====

(14)
AcSmEr2Hg4: relaxed, PBE-GGA. Values from VASP.

The structure in Quantum ESPRESSO input format:
```
&SYSTEM
  ibrav = 0, nat = 8, ntyp = 4
/
ATOMIC_SPECIES
Ac 227.00 Ac.upf
Sm 150.36 Sm.upf
Er 167.26 Er.upf
Hg 200.59 Hg.upf
ATOMIC_POSITIONS crystal
Ac 0.000 0.000 0.000
Sm 0.500 0.500 0.500
Er 0.246 0.246 0.246
Er 0.754 0.754 0.754
Hg 0.128 0.128 0.128
Hg 0.383 0.383 0.383
Hg 0.617 0.617 0.617
Hg 0.872 0.872 0.872
CELL_PARAMETERS angstrom
2.673 1.543 9.037
-2.673 1.543 9.037
0.000 -3.087 9.037
```

energy of formation = -441 meV/atom

=====

(15)
NaTl2GaI4: relaxed, PBE-GGA. Values from VASP.

The structure in Quantum ESPRESSO input format:
```
&SYSTEM
  ibrav = 0, nat = 8, ntyp = 4
/
ATOMIC_SPECIES
Na 22.99 Na.upf
Tl 204.38 Tl.upf
Ga 69.72 Ga.upf
I 126.90 I.upf
ATOMIC_POSITIONS crystal
Na 0.000 0.000 0.000
Tl 0.000 0.500 0.500
Tl 0.500 0.000 0.500
Ga 0.500 0.500 0.000
I 0.239 0.500 0.226
I 0.254 0.000 0.772
I 0.746 0.000 0.228
I 0.761 0.500 0.774
CELL_PARAMETERS angstrom
8.348 0.000 0.000
0.000 4.809 0.000
-2.769 0.000 7.981
```

formation energy without anion corrections = -726 meV per atom

=====

(16)
Tm3Sb4Au3: relaxed, PBE-GGA. Values from VASP.

The structure in Quantum ESPRESSO input format:
```
&SYSTEM
  ibrav = 0, nat = 20, ntyp = 3
/
ATOMIC_SPECIES
Tm 168.93 Tm.upf
Sb 121.76 Sb.upf
Au 196.97 Au.upf
ATOMIC_POSITIONS crystal
Tm 0.125 0.750 0.875
Tm 0.250 0.625 0.375
Tm 0.375 0.250 0.625
Tm 0.625 0.375 0.250
Tm 0.750 0.875 0.125
Tm 0.875 0.125 0.750
Sb 0.000 0.319 0.500
Sb 0.000 0.819 0.500
Sb 0.181 0.181 0.181
Sb 0.319 0.500 0.000
Sb 0.500 0.000 0.319
Sb 0.500 0.000 0.819
Sb 0.681 0.681 0.681
Sb 0.819 0.500 0.000
Au 0.125 0.875 0.250
Au 0.250 0.125 0.875
Au 0.375 0.625 0.750
Au 0.625 0.750 0.375
Au 0.750 0.375 0.625
Au 0.875 0.250 0.125
CELL_PARAMETERS angstrom
-4.938 4.938 4.938
4.938 -4.938 4.938
4.938 4.938 -4.938
```

formation energy without anion corrections = -765 meV per atom

=====

(17)
Ag3Rh2: relaxed, PBE-GGA. Values from VASP.

The structure in Quantum ESPRESSO input format:
```
&SYSTEM
  ibrav = 0, nat = 10, ntyp = 2
/
ATOMIC_SPECIES
Ag 107.87 Ag.upf
Rh 102.91 Rh.upf
ATOMIC_POSITIONS crystal
Ag 0.000 0.000 0.000
Ag 0.000 0.000 0.198
Ag 0.000 0.000 0.802
Ag 0.500 0.500 0.302
Ag 0.500 0.500 0.500
Ag 0.500 0.500 0.698
Rh 0.000 0.000 0.401
Rh 0.000 0.000 0.599
Rh 0.500 0.500 0.099
Rh 0.500 0.500 0.901
CELL_PARAMETERS angstrom
2.765 0.000 0.000
0.000 2.765 0.000
0.000 0.000 21.324
```

energy of formation = 274 meV/atom
offset from the most stable computed form = 0.767 eV/f.u.

=====

(18)
LaSc2Fe: relaxed, PBE-GGA. Values from VASP.

The structure in Quantum ESPRESSO input format:
```
&SYSTEM
  ibrav = 0, nat = 4, ntyp = 3
/
ATOMIC_SPECIES
La 138.91 La.upf
Sc 44.96 Sc.upf
Fe 55.84 Fe.upf
ATOMIC_POSITIONS crystal
La 0.000 0.000 0.000
Sc 0.500 0.500 0.333
Sc 0.500 0.500 0.667
Fe 0.000 0.000 0.500
CELL_PARAMETERS angstrom
3.201 0.000 0.000
0.000 3.201 0.000
0.000 0.000 8.822
```

energy of formation = -36 meV/atom
offset from the most stable computed form = 0.000 eV/f.u.

=====

(19)
PdRhAu: relaxed, PBE-GGA. Values from VASP.

The structure in Quantum ESPRESSO input format:
```
&SYSTEM
  ibrav = 0, nat = 6, ntyp = 3
/
ATOMIC_SPECIES
Pd 106.42 Pd.upf
Rh 102.91 Rh.upf
Au 196.97 Au.upf
ATOMIC_POSITIONS crystal
Pd 0.242 0.242 0.242
Pd 0.758 0.758 0.758
Rh 0.143 0.143 0.143
Rh 0.857 0.857 0.857
Au 0.304 0.304 0.304
Au 0.696 0.696 0.696
CELL_PARAMETERS angstrom
1.387 0.801 14.788
-1.387 0.801 14.788
0.000 -1.602 14.788
```

energy of formation = 124 meV/atom
offset from the most stable computed form = 0.079 eV/f.u.

=====

(20)
Ce2O3: relaxed, PBE-GGA. Values from VASP.

The structure in Quantum ESPRESSO input format:
```
&SYSTEM
  ibrav = 0, nat = 15, ntyp = 2
/
ATOMIC_SPECIES
Ce 140.12 Ce.upf
O 16.00 O.upf
ATOMIC_POSITIONS crystal
Ce 0.033 0.033 0.314
Ce 0.312 0.312 0.361
Ce 0.366 0.366 0.011
Ce 0.634 0.634 0.989
Ce 0.688 0.688 0.639
Ce 0.967 0.967 0.686
O 0.127 0.127 0.784
O 0.177 0.177 0.472
O 0.204 0.204 0.125
O 0.472 0.472 0.841
O 0.500 0.500 0.500
O 0.528 0.528 0.159
O 0.796 0.796 0.875
O 0.823 0.823 0.528
O 0.873 0.873 0.216
CELL_PARAMETERS angstrom
7.223 -1.852 0.000
7.223 1.852 0.000
-1.601 0.000 8.839
```

formation energy without anion corrections = -3303 meV per atom

=====

(21)
SiAgHg: relaxed, PBE-GGA. Values from VASP.

The structure in Quantum ESPRESSO input format:
```
&SYSTEM
  ibrav = 0, nat = 6, ntyp = 3
/
ATOMIC_SPECIES
Si 28.09 Si.upf
Ag 107.87 Ag.upf
Hg 200.59 Hg.upf
ATOMIC_POSITIONS crystal
Si 0.000 0.000 0.000
Si 0.500 0.500 0.500
Ag 0.000 0.000 0.639
Ag 0.500 0.500 0.139
Hg 0.000 0.000 0.319
Hg 0.500 0.500 0.819
CELL_PARAMETERS angstrom
3.011 0.000 0.000
0.000 3.011 0.000
0.000 0.000 12.871
```

offset from the most stable computed form = 0.190 eV/f.u.
formation energy without anion corrections = 364 meV per atom

=====

Number 1: volume 92 Å³/f.u.. Number 2: volume 65 Å³/f.u.. Number 3: volume 73 Å³/f.u.. Number 4: volume 106 Å³/f.u.. Number 5: volume 186 Å³/f.u.. Number 6: volume 178 Å³/f.u.. Number 7: volume 62 Å³/f.u.. Number 8: volume 481 Å³/f.u.. Number 9: volume 474 Å³/f.u.. Number 10: volume 69 Å³/f.u.. Number 11: volume 367 Å³/f.u.. Number 12: volume 125 Å³/f.u.. Number 13: volume 77 Å³/f.u.. Number 14: volume 224 Å³/f.u.. Number 15: volume 320 Å³/f.u.. Number 16: volume 241 Å³/f.u.. Number 17: volume 82 Å³/f.u.. Number 18: volume 90 Å³/f.u.. Number 19: volume 49 Å³/f.u.. Number 20: volume 79 Å³/f.u.. Number 21: volume 58 Å³/f.u..